# 1
Computed, not measured: a relaxed Tb3Hg2Pd6 crystal at the PBE level of DFT.

Output
- energy relative to the elements (meV per atom) = -520
- magnetic moment (Bohr magnetons per cell) = 0.00
- VASP energy (eV per atom) = -4.670

```
data_Tb3Hg2Pd6
_cell_length_a 3.887
_cell_length_b 3.887
_cell_length_c 31.169
_cell_angle_alpha 90.00
_cell_angle_beta 90.00
_cell_angle_gamma 90.00
_symmetry_space_group_name_H-M 'I 4/m m m'
_symmetry_Int_Tables_number 139
_symmetry_space_group_name_Hall '-I 4 2'
loop_
_atom_site_label
_atom_site_fract_x
_atom_site_fract_y
_atom_site_fract_z
Tb1 0.000 0.000 0.000
Tb2 0.000 0.000 0.186
Hg1 0.000 0.000 0.367
Pd1 0.000 0.000 0.276
Pd2 0.000 0.500 0.068
```

# 2
Computed, not measured: a relaxed CaSbN2F crystal at the PBE level of DFT.

Output
- ΔE to the lowest computed polymorph (meV/atom) = 849
- uncorrected formation energy (eV/f.u.) = 1.60
- magnetic moment (Bohr magnetons per cell) = 2.01
- VASP energy (eV per atom) = -4.610

```
data_CaSbN2F
_cell_length_a 4.559
_cell_length_b 4.559
_cell_length_c 4.102
_cell_angle_alpha 90.00
_cell_angle_beta 90.00
_cell_angle_gamma 90.00
_symmetry_space_group_name_H-M 'P 4/m m m'
_symmetry_Int_Tables_number 123
_symmetry_space_group_name_Hall '-P 4 2'
loop_
_atom_site_label
_atom_site_fract_x
_atom_site_fract_y
_atom_site_fract_z
Ca1 0.000 0.000 0.000
Sb1 0.500 0.500 0.500
N1 0.000 0.500 0.000
F1 0.000 0.000 0.500
```

# 3
Computed, not measured: a relaxed SmLuBe crystal at the PBE level of DFT.

Output
- energy relative to the elements (meV per atom) = 98
- magnetic moment (Bohr magnetons per cell) = 0.00
- VASP energy (eV per atom) = -4.224

```
data_SmLuBe
_cell_length_a 3.457
_cell_length_b 3.457
_cell_length_c 12.005
_cell_angle_alpha 90.00
_cell_angle_beta 90.00
_cell_angle_gamma 90.00
_symmetry_space_group_name_H-M 'I 4 m m'
_symmetry_Int_Tables_number 107
_symmetry_space_group_name_Hall 'I 4 -2'
loop_
_atom_site_label
_atom_site_fract_x
_atom_site_fract_y
_atom_site_fract_z
Sm1 0.000 0.000 0.000
Lu1 0.000 0.000 0.272
Be1 0.000 0.000 0.649
```

# 4
Computed, not measured: a relaxed PaCoRe crystal at the PBE level of DFT.

Output
- ΔE to the lowest computed polymorph (meV/atom) = 0
- energy relative to the elements (meV per atom) = -211
- magnetic moment (Bohr magnetons per cell) = 0.00
- VASP energy (eV per atom) = -9.894

```
data_PaCoRe
_cell_length_a 5.039
_cell_length_b 5.253
_cell_length_c 7.624
_cell_angle_alpha 90.00
_cell_angle_beta 90.00
_cell_angle_gamma 90.00
_symmetry_space_group_name_H-M 'I m m a'
_symmetry_Int_Tables_number 74
_symmetry_space_group_name_Hall '-I 2b 2'
loop_
_atom_site_label
_atom_site_fract_x
_atom_site_fract_y
_atom_site_fract_z
Pa1 0.000 0.250 0.130
Co1 0.000 0.000 0.500
Re1 0.250 0.250 0.750
```